Record 1
Here is a relaxed structure of La2TcBr from Alexandria via LeMat-Bulk. Energies are from GGA-PBE.

Computed properties:
E_tot (Ry/atom): -0.4498
Magnetic moment (μB/f.u.): 0.00
Energy relative to the elements, uncorrected (eV/f.u.): -2.59

Cell: 4.5190 5.6379 8.4501 Å, 90.00 90.00 90.00°
Space group Cmmm (No. 65)
Inequivalent atoms, fractional coordinates:
La: 0.0000 0.0000 0.2073
Tc: 0.0000 0.5000 0.0000
Br: 0.0000 0.5000 0.5000

---

Record 2
Here is a relaxed structure of Tl2GaHg2 from Alexandria via LeMat-Bulk. Energies are from GGA-PBE.

Computed properties:
E_tot (Ry/atom): -0.1117
Magnetic moment (μB/f.u.): 0.00

Cell: 4.1182 4.1182 17.2695 Å, 90.00 90.00 90.00°
Space group I4/mmm (No. 139)
Inequivalent atoms, fractional coordinates:
Tl: 0.0000 0.0000 0.0952
Ga: 0.0000 0.0000 0.5000
Hg: 0.0000 0.5000 0.2500

---

Record 3
Here is a relaxed structure of LaCeAlIn from Alexandria via LeMat-Bulk. Energies are from GGA-PBE.

Computed properties:
E_tot (Ry/atom): -0.3426
Magnetic moment (μB/f.u.): 0.91

Cell: 7.6682 7.6682 7.6682 Å, 90.00 90.00 90.00°
Space group F-43m (No. 216)
Inequivalent atoms, fractional coordinates:
La: 0.0000 0.0000 0.0000
Ce: 0.0000 0.0000 0.5000
Al: 0.2500 0.2500 0.2500
In: 0.2500 0.2500 0.7500